! InAs2Cl, optimized geometry, DFT GGA-PBE; values from VASP
&SYSTEM
  ibrav = 0, nat = 4, ntyp = 3
/
ATOMIC_SPECIES
As 74.92 As.upf
Cl 35.45 Cl.upf
In 114.82 In.upf
CELL_PARAMETERS angstrom
5.286 0.000 0.000
0.000 3.741 -0.007
0.000 1.733 5.236
ATOMIC_POSITIONS crystal
As 0.000 0.564 0.588
As 0.000 0.936 0.912
Cl 0.500 0.250 0.250
In 0.500 0.750 0.750
! Total moment: 0.000 μB per atom
! Energy above the lowest structure with this stoichiometry: 177 meV/atom

=====

! InAs2Cl, optimized geometry, DFT GGA-PBE; values from VASP
&SYSTEM
  ibrav = 0, nat = 4, ntyp = 3
/
ATOMIC_SPECIES
As 74.92 As.upf
Cl 35.45 Cl.upf
In 114.82 In.upf
CELL_PARAMETERS angstrom
5.626 -0.438 -0.223
-0.399 5.629 -0.223
-2.780 -2.761 3.904
ATOMIC_POSITIONS crystal
As 0.058 0.942 0.500
As 0.084 0.916 0.000
Cl 0.618 0.382 0.000
In 0.739 0.261 0.500
! Total moment: 0.000 μB per atom
! Energy above the lowest structure with this stoichiometry: 257 meV/atom

=====

! In2As2Cl, optimized geometry, DFT GGA-PBE; values from VASP
&SYSTEM
  ibrav = 0, nat = 10, ntyp = 3
/
ATOMIC_SPECIES
Cl 35.45 Cl.upf
In 114.82 In.upf
As 74.92 As.upf
CELL_PARAMETERS angstrom
-7.247 1.635 -3.364
-2.085 -7.856 0.673
-1.330 0.624 3.169
ATOMIC_POSITIONS crystal
Cl 0.500 0.500 0.000
Cl 0.000 0.000 0.000
In 0.331 0.831 0.000
In 0.169 0.331 0.000
In 0.669 0.169 0.000
In 0.831 0.669 0.000
As 0.870 0.370 0.500
As 0.370 0.130 0.500
As 0.630 0.870 0.500
As 0.130 0.630 0.500
! Total moment: 0.000 μB per atom
! Energy above the lowest structure with this stoichiometry: 152 meV/atom